# 1
Entry from the Alexandria database: a geometry-optimized ErMnSi2Ru structure (PBE-GGA).

Lattice parameters (Å, degrees): 3.9820 3.9820 5.8190 110.01 110.01 90.00
Last column: magnetic moment on the atom in μB.
Positions (direct):
Mn 0.2500 0.7500 0.5000  2.62
Er 0.0000 0.0000 0.0000  -0.04
Si 0.6194 0.6194 0.2388  -0.05
Si 0.3806 0.3806 0.7612  -0.05
Ru 0.7500 0.2500 0.5000  0.11

Properties
Size of the total moment in μB/cell: 2.67
Calculated volume in Å³ per cell: 80.7



# 2
Entry from the Alexandria database: a geometry-optimized ErTaMnRu structure (PBE-GGA).

Lattice parameters (Å, degrees): 4.5531 4.5531 4.5531 60.00 60.00 60.00
Last column: magnetic moment on the atom in μB.
Positions (direct):
Mn 0.2500 0.2500 0.2500  0.66
Er 0.0000 0.0000 0.0000  -0.04
Ta 0.5000 0.5000 0.5000  -0.17
Ru 0.7500 0.7500 0.7500  0.04

Properties
E_form in eV per atom: -0.108
Size of the total moment in μB/cell: 0.44
Calculated volume in Å³ per cell: 66.7



# 3
Entry from the Alexandria database: a geometry-optimized TbErMnRu structure (PBE-GGA).

Lattice parameters (Å, degrees): 4.8941 4.8941 4.8941 60.00 60.00 60.00
Last column: magnetic moment on the atom in μB.
Positions (direct):
Mn 0.7500 0.7500 0.7500  3.52
Er 0.0000 0.0000 0.0000  -0.14
Ru 0.2500 0.2500 0.2500  0.24
Tb 0.5000 0.5000 0.5000  -0.14

Properties
E_form in eV per atom: -0.087
Size of the total moment in μB/cell: 3.58
Calculated volume in Å³ per cell: 82.9



Result set for VASP energy: -0.277 -0.324 -0.257 Ha/atom, one per record in the order listed.